Record 1
DFT (GGA-PBE) results for a geometry-optimized MnFe2As structure.

```
4
Lattice="-0.0026 3.4935 1.8883 -2.3448 0.7131 -1.3226 -3.1437 -1.6852 3.1135" Properties=species:S:1:pos:R:3 pbc="T T T"
As -4.4352 1.1593 2.0249
Fe -2.1957 0.5948 -1.1034
Fe -1.1951 1.5271 1.3489
Mn -2.7540 -0.5327 0.9818
```

Calculated values
- total DFT energy (no corrections) (eV/atom) = -7.598
- total magnetic moment (μB per cell) = 7.4

***

Record 2
DFT (GGA-PBE) results for a geometry-optimized MnFe2As structure.

```
4
Lattice="-5.8224 -4.7187 2.2533 -4.5985 -4.1867 4.7507 -6.4867 -2.3666 3.6832" Properties=species:S:1:pos:R:3 pbc="T T T"
As -12.6439 -8.4295 7.9922
Fe -16.8979 -11.2655 10.6811
Fe -4.2675 -2.8451 2.6975
Mn -8.4597 -5.6399 5.3473
```

Calculated values
- total DFT energy (no corrections) (eV/atom) = -7.434
- total magnetic moment (μB per cell) = 7.4

***

Record 3
DFT (GGA-PBE) results for a geometry-optimized Mn2FeAs2 structure.

```
10
Lattice="-4.3889 -1.7195 -0.9526 1.0609 0.5882 -5.9494 3.5615 -4.2038 3.3178" Properties=species:S:1:pos:R:3 pbc="T T T"
Mn 1.1345 -4.0039 2.0005
Mn -0.9009 -1.3312 -5.5847
Mn 0.5422 -0.8880 -0.8954
Mn -0.3087 -4.4471 -2.6888
Fe -2.7612 -0.9955 -3.6892
Fe -0.5668 -0.1358 -3.2128
As 1.3299 -0.9375 -4.4348
As -1.0963 -4.3976 0.8506
As 1.6052 -3.2567 -1.5167
As -1.3716 -2.0784 -2.0675
```

Calculated values
- energy relative to the lowest polymorph listed for this composition (eV/f.u.) = 0.00
- total DFT energy (no corrections) (eV/atom) = -7.350
- total magnetic moment (μB per cell) = 15.3

***

Record 4
DFT (GGA-PBE) results for a geometry-optimized Mn2FeAs structure.

```
4
Lattice="4.1183 0.0000 0.0000 0.0000 2.6832 -0.1146 0.0000 0.5200 4.5381" Properties=species:S:1:pos:R:3 pbc="T T T"
As 2.0591 0.8008 1.1059
Fe 2.0591 2.4024 3.3176
Mn 0.0000 0.6032 4.4968
Mn 0.0000 1.5183 2.2531
```

Calculated values
- total DFT energy (no corrections) (eV/atom) = -7.700
- total magnetic moment (μB per cell) = 6.2

***

Record 5
DFT (GGA-PBE) results for a geometry-optimized MnFe2As structure.

```
4
Lattice="2.7334 0.0191 0.0000 -0.7793 2.6201 0.0000 0.0000 0.0000 7.3609" Properties=species:S:1:pos:R:3 pbc="T T T"
As 0.9771 1.3196 5.5041
Fe 0.0000 0.0000 0.0304
Fe 0.9771 1.3196 1.8235
Mn 0.0000 0.0000 3.6834
```

Calculated values
- total DFT energy (no corrections) (eV/atom) = -7.469
- total magnetic moment (μB per cell) = 7.5

***

Record 6
DFT (GGA-PBE) results for a geometry-optimized MnFeAs2 structure.

```
4
Lattice="7.5475 -0.0038 -0.0022 6.9817 2.8671 -0.0022 6.9817 1.3759 2.5154" Properties=species:S:1:pos:R:3 pbc="T T T"
As 21.4700 4.2312 2.5061
As 10.7964 2.1277 1.2602
Fe 5.3777 1.0598 0.6277
Mn 16.1332 3.1794 1.8832
```

Calculated values
- energy relative to the lowest polymorph listed for this composition (eV/f.u.) = 0.77
- total DFT energy (no corrections) (eV/atom) = -6.604
- total magnetic moment (μB per cell) = 3.0

***

Record 7
DFT (GGA-PBE) results for a geometry-optimized MnFe2As structure.

```
4
Lattice="4.1460 0.0000 0.0000 0.0000 2.7214 0.0093 0.0000 0.3892 4.5366" Properties=species:S:1:pos:R:3 pbc="T T T"
As 2.0730 2.3329 3.4095
Fe 0.0000 2.5871 0.0467
Fe 0.0000 1.6896 2.2357
Mn 2.0730 0.7776 1.1365
```

Calculated values
- total DFT energy (no corrections) (eV/atom) = -7.568
- total magnetic moment (μB per cell) = 7.2

***

Record 8
DFT (GGA-PBE) results for a geometry-optimized MnFeAs2 structure.

```
4
Lattice="-2.8745 3.7980 0.3432 -3.4406 1.8234 2.7646 2.8433 1.9497 2.2546" Properties=species:S:1:pos:R:3 pbc="T T T"
As 0.2786 0.3120 0.3195
As -2.8874 5.3709 3.7048
Fe -1.0845 3.7654 2.8170
Mn -1.5144 1.9084 1.2022
```

Calculated values
- energy relative to the lowest polymorph listed for this composition (eV/f.u.) = 0.12
- total DFT energy (no corrections) (eV/atom) = -6.766
- total magnetic moment (μB per cell) = 4.5

***

Record 9
DFT (GGA-PBE) results for a geometry-optimized MnFe2As structure.

```
4
Lattice="-0.7564 -3.9617 6.7348 1.6127 -4.9018 5.9158 1.4822 -2.5906 7.2607" Properties=species:S:1:pos:R:3 pbc="T T T"
As 1.7539 -8.5906 14.9335
Fe 2.3363 -11.4435 19.8928
Fe 1.1714 -5.7377 9.9742
Mn 0.5846 -2.8635 4.9778
```

Calculated values
- total DFT energy (no corrections) (eV/atom) = -7.399
- total magnetic moment (μB per cell) = 2.9

***

Record 10
DFT (GGA-PBE) results for a geometry-optimized MnFe2As structure.

```
4
Lattice="3.1553 0.0000 0.0000 0.0000 3.1553 0.0000 0.0000 0.0000 5.2065" Properties=species:S:1:pos:R:3 pbc="T T T"
As 1.5776 1.5776 3.8937
Fe 0.0000 0.0000 0.0210
Fe 1.5776 1.5776 1.2825
Mn 0.0000 0.0000 2.6125
```

Calculated values
- total DFT energy (no corrections) (eV/atom) = -7.671
- total magnetic moment (μB per cell) = 7.8

***

Record 11
DFT (GGA-PBE) results for a geometry-optimized Mn2FeAs structure.

```
4
Lattice="2.6963 0.0000 0.0000 0.0000 3.7337 0.0000 0.0000 0.0000 4.9929" Properties=species:S:1:pos:R:3 pbc="T T T"
As 0.0000 0.0000 2.5449
Fe 1.3482 1.8668 3.7286
Mn 0.0000 0.0000 0.0344
Mn 1.3482 1.8668 1.1814
```

Calculated values
- total DFT energy (no corrections) (eV/atom) = -7.805
- total magnetic moment (μB per cell) = 2.1

***

Record 12
DFT (GGA-PBE) results for a geometry-optimized MnFe2As structure.

```
4
Lattice="4.9569 -0.0264 0.0819 -2.3932 4.3410 0.0819 0.6541 1.1007 2.4071" Properties=species:S:1:pos:R:3 pbc="T T T"
As -0.8696 2.7209 1.2445
Fe 0.0000 0.0000 0.0000
Fe 1.2819 2.1573 0.0819
Mn 2.8055 0.5371 1.2445
```

Calculated values
- total DFT energy (no corrections) (eV/atom) = -7.547
- total magnetic moment (μB per cell) = 6.9

***

Record 13
DFT (GGA-PBE) results for a geometry-optimized MnFe2As structure.

```
8
Lattice="4.9435 0.0000 0.0000 0.0000 4.9435 0.0000 2.4717 2.4717 5.3014" Properties=species:S:1:pos:R:3 pbc="T T T"
As 0.0000 0.0000 0.0000
As 4.9435 2.4717 2.6507
Mn 2.4717 2.4717 0.0000
Mn 2.4717 4.9435 2.6507
Fe 3.5620 1.2359 1.3253
Fe 1.3815 3.7076 1.3253
Fe 3.7076 3.8532 3.9760
Fe 6.1793 6.0337 3.9760
```

Calculated values
- total DFT energy (no corrections) (eV/atom) = -6.885
- total magnetic moment (μB per cell) = 0.0

***

Record 14
DFT (GGA-PBE) results for a geometry-optimized MnFe2As structure.

```
4
Lattice="4.0519 0.0000 0.0000 2.0259 3.5090 0.0000 2.0259 1.1697 3.3084" Properties=species:S:1:pos:R:3 pbc="T T T"
As 4.0519 2.3394 1.6542
Fe 0.0000 0.0000 0.0000
Fe 2.0259 1.1697 0.8271
Mn 6.0778 3.5090 2.4813
```

Calculated values
- total DFT energy (no corrections) (eV/atom) = -7.668
- total magnetic moment (μB per cell) = 5.2

***

Record 15
DFT (GGA-PBE) results for a geometry-optimized MnFeAs2 structure.

```
8
Lattice="4.9451 0.0000 0.0000 0.0000 4.9451 0.0000 2.4726 2.4726 6.3628" Properties=species:S:1:pos:R:3 pbc="T T T"
As 3.8363 1.2363 1.5907
As 1.1088 3.7088 1.5907
As 3.7088 3.5813 4.7721
As 6.1814 6.3089 4.7721
Mn 2.4726 2.4726 0.0000
Mn 2.4726 4.9451 3.1814
Fe 0.0000 0.0000 0.0000
Fe 4.9451 2.4726 3.1814
```

Calculated values
- energy relative to the lowest polymorph listed for this composition (eV/f.u.) = 1.24
- total DFT energy (no corrections) (eV/atom) = -6.486
- total magnetic moment (μB per cell) = 3.1

***

Record 16
DFT (GGA-PBE) results for a geometry-optimized Mn2FeAs structure.

```
4
Lattice="3.8971 0.0000 0.0000 0.0000 2.9789 0.1874 0.0000 1.4858 4.6654" Properties=species:S:1:pos:R:3 pbc="T T T"
As 0.0000 2.8388 2.3452
Fe 1.9486 2.7009 3.7972
Mn 0.0000 4.2211 4.5181
Mn 1.9486 1.4010 1.4716
```

Calculated values
- total DFT energy (no corrections) (eV/atom) = -7.760
- total magnetic moment (μB per cell) = 7.4

***

Record 17
DFT (GGA-PBE) results for a geometry-optimized MnFe2As structure.

```
4
Lattice="4.5926 -0.0041 -0.0091 1.7342 4.2525 0.0091 -2.9331 -2.4672 2.5302" Properties=species:S:1:pos:R:3 pbc="T T T"
As 0.9619 1.9411 1.2696
Fe 0.0082 0.0055 0.0000
Fe 2.4403 -0.1542 1.2605
Mn 3.1467 2.1130 0.0000
```

Calculated values
- total DFT energy (no corrections) (eV/atom) = -7.672
- total magnetic moment (μB per cell) = 6.9

***

Record 18
DFT (GGA-PBE) results for a geometry-optimized MnFeAs2 structure.

```
4
Lattice="0.0000 2.9408 2.9408 2.9408 0.0000 2.9408 2.9408 2.9408 0.0000" Properties=species:S:1:pos:R:3 pbc="T T T"
As 1.4704 1.4704 1.4704
As 4.4112 4.4112 4.4112
Mn 0.0000 0.0000 0.0000
Fe 2.9408 2.9408 2.9408
```

Calculated values
- energy relative to the lowest polymorph listed for this composition (eV/f.u.) = 0.75
- total DFT energy (no corrections) (eV/atom) = -6.609
- total magnetic moment (μB per cell) = 0.0

***

Record 19
DFT (GGA-PBE) results for a geometry-optimized Mn2FeAs structure.

```
8
Lattice="-1.0812 -2.1968 -2.5854 1.2669 -2.7786 1.8312 -7.3826 -3.3518 3.4835" Properties=species:S:1:pos:R:3 pbc="T T T"
As 0.0000 0.0000 0.0000
As -4.1855 -4.0181 0.2605
Mn -2.3683 -2.5689 -0.5286
Mn -1.1838 -2.8385 1.7047
Mn -5.4735 -4.3662 2.3209
Mn -5.3684 -6.8808 1.9616
Fe 0.0928 -2.4877 -0.3771
Fe -3.0115 -4.3091 2.4688
```

Calculated values
- total DFT energy (no corrections) (eV/atom) = -7.400
- total magnetic moment (μB per cell) = 8.8

***

Record 20
DFT (GGA-PBE) results for a geometry-optimized MnFe2As structure.

```
4
Lattice="2.9696 0.0000 0.0000 0.0000 3.9382 0.0000 0.0000 0.0000 4.0171" Properties=species:S:1:pos:R:3 pbc="T T T"
As 0.0000 1.9691 2.0086
Fe 0.0000 0.0000 0.0000
Fe 1.4848 1.9691 0.0000
Mn 1.4848 0.0000 2.0086
```

Calculated values
- total DFT energy (no corrections) (eV/atom) = -7.627
- total magnetic moment (μB per cell) = 3.7

***

Record 21
DFT (GGA-PBE) results for a geometry-optimized Mn2FeAs structure.

```
4
Lattice="-2.4181 -1.7140 -2.7470 -2.7131 -2.7683 1.1430 -3.9416 0.8895 -0.0578" Properties=species:S:1:pos:R:3 pbc="T T T"
As -4.5364 -1.7964 -0.8309
Fe -6.8046 -2.6946 -1.2463
Mn 0.0000 0.0000 0.0000
Mn -2.2682 -0.8982 -0.4154
```

Calculated values
- total DFT energy (no corrections) (eV/atom) = -7.914
- total magnetic moment (μB per cell) = 3.0

***

Record 22
DFT (GGA-PBE) results for a geometry-optimized Mn2FeAs structure.

```
4
Lattice="7.9250 -0.0555 -0.0327 7.4547 2.6900 -0.0327 7.4547 1.2770 2.3678" Properties=species:S:1:pos:R:3 pbc="T T T"
As 11.3514 1.9445 1.1446
Fe 17.1372 2.9355 1.7280
Mn 0.0059 0.0010 0.0006
Mn 5.7571 0.9862 0.5805
```

Calculated values
- total DFT energy (no corrections) (eV/atom) = -7.646
- total magnetic moment (μB per cell) = 1.9

***

Record 23
DFT (GGA-PBE) results for a geometry-optimized MnFeAs2 structure.

```
4
Lattice="3.5471 -0.5473 0.3408 2.2510 2.7954 0.3408 1.3148 0.5098 6.0228" Properties=species:S:1:pos:R:3 pbc="T T T"
As 1.3207 0.5121 5.9641
As 3.5506 1.3767 3.4109
Fe 5.3347 2.0684 5.0283
Mn 1.7782 0.6895 1.6761
```

Calculated values
- energy relative to the lowest polymorph listed for this composition (eV/f.u.) = 0.53
- total DFT energy (no corrections) (eV/atom) = -6.662
- total magnetic moment (μB per cell) = 6.2

***

Record 24
DFT (GGA-PBE) results for a geometry-optimized MnFe4As2 structure.

```
7
Lattice="-1.6540 1.9830 3.2586 0.4177 -3.4362 2.3031 5.0300 1.1259 4.5204" Properties=species:S:1:pos:R:3 pbc="T T T"
As 3.0477 -0.0481 6.8811
As 0.7460 -0.2792 3.2010
Mn 0.0000 0.0000 0.0000
Fe 0.8985 -0.7530 6.2192
Fe 2.8952 0.4257 3.8629
Fe 0.2089 -1.7181 1.1515
Fe -0.8270 0.9915 1.6293
```

Calculated values
- total DFT energy (no corrections) (eV/atom) = -6.730
- total magnetic moment (μB per cell) = 8.0

***

Record 25
DFT (GGA-PBE) results for a geometry-optimized Mn2FeAs structure.

```
4
Lattice="4.4870 -0.1978 -0.4300 1.9224 4.0592 0.4300 -2.9823 -2.2999 2.4848" Properties=species:S:1:pos:R:3 pbc="T T T"
As 2.3547 -0.2835 1.0274
Fe 1.0724 1.8450 1.4574
Mn 6.4092 3.8612 0.0000
Mn 3.2050 1.9308 0.0000
```

Calculated values
- total DFT energy (no corrections) (eV/atom) = -7.867
- total magnetic moment (μB per cell) = 2.1

***

Record 26
DFT (GGA-PBE) results for a geometry-optimized MnFe2As structure.

```
4
Lattice="2.9719 0.0000 0.0000 0.0000 2.9719 0.0000 0.0000 0.0000 5.3889" Properties=species:S:1:pos:R:3 pbc="T T T"
As 1.4859 1.4859 4.0417
Fe 0.0000 0.0000 5.3860
Fe 0.0000 0.0000 2.6974
Mn 1.4859 1.4859 1.3472
```

Calculated values
- total DFT energy (no corrections) (eV/atom) = -7.595
- total magnetic moment (μB per cell) = 4.4

***

Record 27
DFT (GGA-PBE) results for a geometry-optimized Mn2FeAs structure.

```
4
Lattice="-0.2316 -2.8320 0.7469 2.9237 -0.1799 0.2273 -0.3327 1.4604 5.4342" Properties=species:S:1:pos:R:3 pbc="T T T"
As -0.1709 0.7502 2.7915
Fe 1.0998 -0.4251 4.5093
Mn -0.0002 0.0010 0.0037
Mn 1.2644 -1.1475 1.8209
```

Calculated values
- total DFT energy (no corrections) (eV/atom) = -7.797
- total magnetic moment (μB per cell) = 2.9

***

Record 28
DFT (GGA-PBE) results for a geometry-optimized MnFe2As2 structure.

```
10
Lattice="6.7449 0.0000 0.0000 0.0000 6.7449 0.0000 0.0000 0.0000 2.9104" Properties=species:S:1:pos:R:3 pbc="T T T"
As 2.3156 5.6881 0.0000
As 5.6881 4.4293 0.0000
As 4.4293 1.0568 0.0000
As 1.0568 2.3156 0.0000
Mn 0.0000 0.0000 0.0000
Mn 3.3725 3.3725 0.0000
Fe 0.9399 4.3123 1.4552
Fe 4.3123 5.8051 1.4552
Fe 5.8051 2.4326 1.4552
Fe 2.4326 0.9399 1.4552
```

Calculated values
- energy relative to the lowest polymorph listed for this composition (eV/f.u.) = 0.08
- total DFT energy (no corrections) (eV/atom) = -7.008
- total magnetic moment (μB per cell) = 10.9

***

Record 29
DFT (GGA-PBE) results for a geometry-optimized MnFeAs2 structure.

```
4
Lattice="3.1975 0.0000 0.0000 0.0000 3.1998 0.0000 0.0000 0.0000 5.9887" Properties=species:S:1:pos:R:3 pbc="T T T"
As 0.0000 0.0000 5.5259
As 1.5988 1.5999 1.9491
Fe 0.0000 0.0000 2.9873
Mn 1.5988 1.5999 4.5094
```

Calculated values
- energy relative to the lowest polymorph listed for this composition (eV/f.u.) = 0.00
- total DFT energy (no corrections) (eV/atom) = -6.795
- total magnetic moment (μB per cell) = 4.7